(1)
Compound: TbSmS2
Source: the Alexandria database
Functional: PBE
Structure: optimized geometry

```
data_TbSmS2
_chemical_formula_sum 'Tb3 Sm3 S6'
_cell_length_a 3.8804
_cell_length_b 3.8804
_cell_length_c 20.6537
_cell_angle_alpha 90.00
_cell_angle_beta 90.00
_cell_angle_gamma 120.00
_symmetry_space_group_name_H-M 'R 3 m'
_symmetry_Int_Tables_number 160
_symmetry_space_group_name_Hall 'R 3 -2"'
loop_
_atom_site_label
_atom_site_type_symbol
_atom_site_fract_x
_atom_site_fract_y
_atom_site_fract_z
Tb1 Tb 0.0000 0.0000 0.0000
Sm1 Sm 0.0000 0.0000 0.1782
S1 S 0.0000 0.0000 0.5898
S2 S 0.0000 0.0000 0.7548
```

Output
For the total magnetization, the calculation gives 0.000 μB per atom. As for the energy relative to the lowest polymorph listed for this composition: 0.0505 eV per atom. The energy relative to the elements, uncorrected comes out at -1.97 eV/atom.



(2)
Compound: Li4PdPb
Source: the Alexandria database
Functional: PBE
Structure: optimized geometry

```
data_Li4PdPb
_chemical_formula_sum 'Li16 Pd4 Pb4'
_cell_length_a 12.615
_cell_length_b 6.953
_cell_length_c 5.052
_cell_angle_alpha 90.00
_cell_angle_beta 104.91
_cell_angle_gamma 90.00
_symmetry_space_group_name_H-M 'C 1 2/m 1'
_symmetry_Int_Tables_number 12
loop_
_symmetry_equiv_pos_as_xyz
'x,y,z'
'-x,-y,-z'
'-x,y,-z'
'x,-y,z'
'x+1/2,y+1/2,z'
'-x+1/2,-y+1/2,-z'
'-x+1/2,y+1/2,-z'
'x+1/2,-y+1/2,z'
loop_
_atom_site_label
_atom_site_type_symbol
_atom_site_fract_x
_atom_site_fract_y
_atom_site_fract_z
Li1 Li 0.000 0.199 0.000
Li2 Li 0.123 0.199 0.581
Li3 Li 0.164 0.500 0.284
Pd1 Pd 0.052 0.500 0.771
Pb1 Pb 0.212 0.000 0.125
```

Output
For the total magnetization, the calculation gives 0.000 μB per atom. As for the energy relative to the lowest polymorph listed for this composition: 0.0707 eV per atom. Its energy relative to the elements is -0.29 eV per atom.



(3)
Compound: KCdIn
Source: the Alexandria database
Functional: PBE
Structure: optimized geometry

```
data_KCdIn
_chemical_formula_sum 'K4 Cd4 In4'
_cell_length_a 4.875
_cell_length_b 13.140
_cell_length_c 6.329
_cell_angle_alpha 90.00
_cell_angle_beta 90.00
_cell_angle_gamma 90.00
_symmetry_space_group_name_H-M 'C m c m'
_symmetry_Int_Tables_number 63
_symmetry_space_group_name_Hall '-C 2c 2'
loop_
_atom_site_label
_atom_site_type_symbol
_atom_site_fract_x
_atom_site_fract_y
_atom_site_fract_z
K1 K 0.000 0.214 0.250
Cd1 Cd 0.000 0.500 0.000
In1 In 0.000 0.070 0.750
```

Output
For the total magnetization, the calculation gives 0.000 μB per atom. As for the energy relative to the lowest polymorph listed for this composition: 0.0295 eV per atom. Its energy relative to the elements is -0.09 eV per atom.